Entry 1:
Computed, not measured: a relaxed Sr2SnBr crystal at the PBE level of DFT.

Cell: 8.1633 8.1633 8.1633 Å, 90.00 90.00 90.00°
Space group Fm-3m (No. 225)
Inequivalent atoms, fractional coordinates:
Sr1 0.2500 0.2500 0.2500 x8
Sn1 0.0000 0.0000 0.0000 x4
Br1 0.0000 0.0000 0.5000 x4

Summary:
- energy relative to the elements, uncorrected (eV per atom) = -0.913
- calculated density (g cm⁻³) = 4.6
- raw total energy (eV/atom) = -3.17


Entry 2:
Computed, not measured: a relaxed Nd2ScC2I2 crystal at the PBE level of DFT.

Cell: 4.3210 4.3210 20.5060 Å, 90.00 90.00 90.00°
Space group I4/mmm (No. 139)
Inequivalent atoms, fractional coordinates:
Nd1 0.0000 0.0000 0.0782 x4
Sc1 0.0000 0.0000 0.5000 x2
C1 0.0000 0.5000 0.0000 x4
I1 0.0000 0.0000 0.3404 x4

Summary:
- energy relative to the elements, uncorrected (eV per atom) = -0.640
- calculated density (g cm⁻³) = 5.3
- raw total energy (eV/atom) = -5.99


Entry 3:
Computed, not measured: a relaxed Y2Ge6Rh9 crystal at the PBE level of DFT.

Cell: 5.6520 5.6520 11.1793 Å, 90.00 90.00 120.00°
Space group P6/mmm (No. 191)
Inequivalent atoms, fractional coordinates:
Y1 0.0000 0.0000 0.1992 x2
Ge1 0.3333 0.6667 0.1653 x4
Ge2 0.3333 0.6667 0.5000 x2
Rh1 0.0000 0.5000 0.0000 x3
Rh2 0.0000 0.5000 0.3316 x6

Summary:
- calculated density (g cm⁻³) = 8.3
- formation enthalpy at 0 K (eV per formula unit) = -10.5
- raw total energy (eV/atom) = -6.90


Entry 4:
Computed, not measured: a relaxed YTcN3 crystal at the PBE level of DFT.

Cell: 4.0583 3.9968 7.3961 Å, 90.00 90.00 90.00°
Space group Amm2 (No. 38)
Inequivalent atoms, fractional coordinates:
Y1 0.0000 0.0000 0.0000 x2
Tc1 0.5000 0.0000 0.6940 x2
N1 0.0000 0.0000 0.6794 x2
N2 0.5000 0.1670 0.4133 x4

Summary:
- energy relative to the elements, uncorrected (eV per atom) = -0.542
- calculated density (g cm⁻³) = 6.3
- raw total energy (eV/atom) = -8.90


Entry 5:
Computed, not measured: a relaxed MgPaTi crystal at the PBE level of DFT.

Cell: 3.0481 3.0481 8.0958 Å, 90.00 90.00 120.00°
Space group P3m1 (No. 156)
Inequivalent atoms, fractional coordinates:
Mg1 0.0000 0.0000 0.0000 x1
Pa1 0.3333 0.6667 0.6345 x1
Ti1 0.6667 0.3333 0.3158 x1

Summary:
- calculated density (g cm⁻³) = 7.7
- formation enthalpy at 0 K (eV per formula unit) = 0.5
- raw total energy (eV/atom) = -6.18


Entry 6:
Computed, not measured: a relaxed BaLi2NbF8 crystal at the PBE level of DFT.

Cell: 4.8149 5.1104 7.7367 Å, 89.19 89.24 76.97°
Space group P-1 (No. 2)
Inequivalent atoms, fractional coordinates:
Ba1 0.0000 0.0000 0.0000 x1
Li1 0.4976 0.4977 0.1916 x2
Nb1 0.0000 0.0000 0.5000 x1
F1 0.2136 0.7737 0.7034 x2
F2 0.2152 0.7743 0.2975 x2
F3 0.2616 0.2342 0.4960 x2
F4 0.3582 0.3147 0.0014 x2

Summary:
- energy relative to the elements, uncorrected (eV per atom) = -3.139
- calculated density (g cm⁻³) = 3.5
- raw total energy (eV/atom) = -5.71


Question: Among the records above, which one has the lowest calculated density?
Answer: BaLi2NbF8


Question: Among the records above, which one has the lowest calculated density?
Answer: BaLi2NbF8


Question: Which value of calculated density does entry 4 give?
Answer: 6.3 g cm⁻³